# CaSm2ScS4 PBE relaxed
# - Theoretical density: 4.970 g/cm3
# - Formation energy without anion corrections: -15.80 eV per formula unit
# - VASP energy: -50.1 eV for the cell shown
# - Volume: 21.47 A^3/atom
data_CaSm2ScS4
_chemical_formula_sum 'Ca1 Sm2 Sc1 S4'
_cell_length_a 6.7985
_cell_length_b 3.9085
_cell_length_c 6.8385
_cell_angle_alpha 90.00
_cell_angle_beta 109.05
_cell_angle_gamma 90.00
_symmetry_space_group_name_H-M 'P 1 2/m 1'
_symmetry_Int_Tables_number 10
_symmetry_space_group_name_Hall '-P 2y'
loop_
_atom_site_label
_atom_site_fract_x
_atom_site_fract_y
_atom_site_fract_z
Ca1 0.0000 0.0000 0.0000
Sm1 0.0000 0.5000 0.5000
Sm2 0.5000 0.0000 0.5000
Sc1 0.5000 0.5000 0.0000
S1 0.2548 0.5000 0.2382
S2 0.2636 0.0000 0.7685

# Ho5Ga4Pd PBE relaxed
# - Theoretical density: 9.028 g/cm3
# - Energy of formation: -649 meV per atom
# - VASP energy: -46.7 eV for the cell shown
# - Volume: 22.25 A^3/atom
data_Ho5Ga4Pd
_chemical_formula_sum 'Ho5 Ga4 Pd1'
_cell_length_a 3.5414
_cell_length_b 3.5414
_cell_length_c 17.7448
_cell_angle_alpha 90.00
_cell_angle_beta 90.00
_cell_angle_gamma 90.00
_symmetry_space_group_name_H-M 'P 4/m m m'
_symmetry_Int_Tables_number 123
_symmetry_space_group_name_Hall '-P 4 2'
loop_
_atom_site_label
_atom_site_fract_x
_atom_site_fract_y
_atom_site_fract_z
Ho1 0.0000 0.0000 0.0000
Ho2 0.0000 0.0000 0.2017
Ho3 0.0000 0.0000 0.4041
Ga1 0.5000 0.5000 0.1001
Ga2 0.5000 0.5000 0.3015
Pd1 0.5000 0.5000 0.5000

# Ca2LaN PBE relaxed
# - Theoretical density: 3.326 g/cm3
# - Formation energy without anion corrections: -2.55 eV per formula unit
# - VASP energy: -39.6 eV for the cell shown
# - Volume: 29.09 A^3/atom
data_Ca2LaN
_chemical_formula_sum 'Ca4 La2 N2'
_cell_length_a 3.8280
_cell_length_b 3.8280
_cell_length_c 15.8811
_cell_angle_alpha 90.00
_cell_angle_beta 90.00
_cell_angle_gamma 90.00
_symmetry_space_group_name_H-M 'P 4/n m m'
_symmetry_Int_Tables_number 129
loop_
_symmetry_equiv_pos_as_xyz
'x,y,z'
'-x,-y,-z'
'-y+1/2,x,z'
'y+1/2,-x,-z'
'-x+1/2,-y+1/2,z'
'x+1/2,y+1/2,-z'
'y,-x+1/2,z'
'-y,x+1/2,-z'
'x+1/2,-y,-z'
'-x+1/2,y,z'
'-y,-x,-z'
'y,x,z'
'-x,y+1/2,-z'
'x,-y+1/2,z'
'y+1/2,x+1/2,-z'
'-y+1/2,-x+1/2,z'
loop_
_atom_site_label
_atom_site_fract_x
_atom_site_fract_y
_atom_site_fract_z
Ca1 0.2500 0.2500 0.0889
Ca2 0.2500 0.2500 0.7329
La1 0.2500 0.2500 0.4250
N1 0.2500 0.2500 0.5786

# K2SnHg3 PBE relaxed
# - Theoretical density: 6.347 g/cm3
# - Energy relative to the lowest polymorph listed for this composition: 41 meV per atom
# - Energy of formation: -222 meV per atom
# - VASP energy: -67.5 eV for the cell shown
# - Volume: 34.83 A^3/atom
data_K2SnHg3
_chemical_formula_sum 'K16 Sn8 Hg24'
_cell_length_a 9.1219
_cell_length_b 10.2200
_cell_length_c 17.9312
_cell_angle_alpha 90.00
_cell_angle_beta 90.00
_cell_angle_gamma 90.00
_symmetry_space_group_name_H-M 'F m m m'
_symmetry_Int_Tables_number 69
_symmetry_space_group_name_Hall '-F 2 2'
loop_
_atom_site_label
_atom_site_fract_x
_atom_site_fract_y
_atom_site_fract_z
K1 0.2354 0.0000 0.0000
K2 0.2500 0.2500 0.2500
Sn1 0.0000 0.0000 0.3357
Hg1 0.0000 0.0000 0.1704
Hg2 0.0000 0.2451 0.4160

# Tm8MnBi2 PBE relaxed
# - Theoretical density: 9.945 g/cm3
# - Energy of formation: -162 meV per atom
# - VASP energy: -109.0 eV for the cell shown
# - Volume: 27.69 A^3/atom
data_Tm8MnBi2
_chemical_formula_sum 'Tm16 Mn2 Bi4'
_cell_length_a 17.1845
_cell_length_b 5.4297
_cell_length_c 6.7437
_cell_angle_alpha 90.00
_cell_angle_beta 104.48
_cell_angle_gamma 90.00
_symmetry_space_group_name_H-M 'C 1 2/m 1'
_symmetry_Int_Tables_number 12
_symmetry_space_group_name_Hall '-C 2y'
loop_
_atom_site_label
_atom_site_fract_x
_atom_site_fract_y
_atom_site_fract_z
Tm1 0.0085 0.0000 0.2335
Tm2 0.0918 0.5000 0.7502
Tm3 0.1366 0.5000 0.2816
Tm4 0.1978 0.0000 0.0719
Mn1 0.0000 0.5000 0.0000
Bi1 0.1680 0.0000 0.5875

# SmIn3Hg PBE relaxed
# - Theoretical density: 7.577 g/cm3
# - Energy of formation: -100 meV per atom
# - VASP energy: -54.9 eV for the cell shown
# - Volume: 30.48 A^3/atom
data_SmIn3Hg
_chemical_formula_sum 'Sm4 In12 Hg4'
_cell_length_a 9.5875
_cell_length_b 11.1307
_cell_length_c 5.7122
_cell_angle_alpha 90.00
_cell_angle_beta 90.00
_cell_angle_gamma 90.00
_symmetry_space_group_name_H-M 'C m c m'
_symmetry_Int_Tables_number 63
_symmetry_space_group_name_Hall '-C 2c 2'
loop_
_atom_site_label
_atom_site_fract_x
_atom_site_fract_y
_atom_site_fract_z
Sm1 0.0000 0.2267 0.2500
In1 0.0000 0.5000 0.0000
In2 0.1714 0.3013 0.7500
Hg1 0.0000 0.0588 0.7500

# MnCl2 PBE relaxed
# - Theoretical density: 2.522 g/cm3
# - Formation energy without anion corrections: -3.10 eV per formula unit
# - VASP energy: -63.9 eV for the cell shown
# - Volume: 27.62 A^3/atom
data_MnCl2
_chemical_formula_sum 'Mn4 Cl8'
_cell_length_a 3.6845
_cell_length_b 17.3692
_cell_length_c 5.1799
_cell_angle_alpha 90.00
_cell_angle_beta 90.00
_cell_angle_gamma 90.00
_symmetry_space_group_name_H-M 'C m c m'
_symmetry_Int_Tables_number 63
_symmetry_space_group_name_Hall '-C 2c 2'
loop_
_atom_site_label
_atom_site_fract_x
_atom_site_fract_y
_atom_site_fract_z
Mn1 0.0000 0.1774 0.2500
Cl1 0.0000 0.2105 0.7500
Cl2 0.0000 0.4103 0.7500

# InGeN2O PBE relaxed
# - Theoretical density: 6.771 g/cm3
# - Formation energy without anion corrections: 2.29 eV per formula unit
# - VASP energy: -26.7 eV for the cell shown
# - Volume: 11.35 A^3/atom
data_InGeN2O
_chemical_formula_sum 'In1 Ge1 N2 O1'
_cell_length_a 3.8765
_cell_length_b 3.8765
_cell_length_c 3.7774
_cell_angle_alpha 90.00
_cell_angle_beta 90.00
_cell_angle_gamma 90.00
_symmetry_space_group_name_H-M 'P 4/m m m'
_symmetry_Int_Tables_number 123
_symmetry_space_group_name_Hall '-P 4 2'
loop_
_atom_site_label
_atom_site_fract_x
_atom_site_fract_y
_atom_site_fract_z
In1 0.0000 0.0000 0.0000
Ge1 0.5000 0.5000 0.5000
N1 0.0000 0.5000 0.5000
O1 0.5000 0.5000 0.0000

# Th2CoAgPt PBE relaxed
# - Theoretical density: 12.052 g/cm3
# - Energy of formation: -531 meV per atom
# - VASP energy: -67.0 eV for the cell shown
# - Volume: 22.76 A^3/atom
data_Th2CoAgPt
_chemical_formula_sum 'Th4 Co2 Ag2 Pt2'
_cell_length_a 7.4754
_cell_length_b 4.4823
_cell_length_c 7.4772
_cell_angle_alpha 90.00
_cell_angle_beta 114.70
_cell_angle_gamma 90.00
_symmetry_space_group_name_H-M 'P 1 21/m 1'
_symmetry_Int_Tables_number 11
_symmetry_space_group_name_Hall '-P 2yb'
loop_
_atom_site_label
_atom_site_fract_x
_atom_site_fract_y
_atom_site_fract_z
Th1 0.0929 0.2500 0.3414
Th2 0.3414 0.7500 0.0929
Co1 0.0315 0.2500 0.9700
Ag1 0.4144 0.7500 0.5857
Pt1 0.2361 0.2500 0.7638

# BaLiRe2 PBE relaxed
# - Theoretical density: 10.085 g/cm3
# - Energy relative to the lowest polymorph listed for this composition: 305 meV per atom
# - Energy of formation: 816 meV per atom
# - VASP energy: -25.5 eV for the cell shown
# - Volume: 21.27 A^3/atom
data_BaLiRe2
_chemical_formula_sum 'Ba1 Li1 Re2'
_cell_length_a 4.1917
_cell_length_b 5.0571
_cell_length_c 4.2034
_cell_angle_alpha 90.00
_cell_angle_beta 107.30
_cell_angle_gamma 90.00
_symmetry_space_group_name_H-M 'P 1 2/m 1'
_symmetry_Int_Tables_number 10
_symmetry_space_group_name_Hall '-P 2y'
loop_
_atom_site_label
_atom_site_fract_x
_atom_site_fract_y
_atom_site_fract_z
Ba1 0.0000 0.0000 0.0000
Li1 0.5000 0.0000 0.5000
Re1 0.3233 0.5000 0.6765

# CrGa3B PBE relaxed
# - Theoretical density: 5.849 g/cm3
# - Energy relative to the lowest polymorph listed for this composition: 0 meV per atom
# - Energy of formation: 988 meV per atom
# - VASP energy: -20.4 eV for the cell shown
# - Volume: 15.44 A^3/atom
data_CrGa3B
_chemical_formula_sum 'Cr1 Ga3 B1'
_cell_length_a 4.2582
_cell_length_b 4.2582
_cell_length_c 4.2582
_cell_angle_alpha 90.00
_cell_angle_beta 90.00
_cell_angle_gamma 90.00
_symmetry_space_group_name_H-M 'P m -3 m'
_symmetry_Int_Tables_number 221
_symmetry_space_group_name_Hall '-P 4 2 3'
loop_
_atom_site_label
_atom_site_fract_x
_atom_site_fract_y
_atom_site_fract_z
Cr1 0.0000 0.0000 0.0000
Ga1 0.0000 0.5000 0.5000
B1 0.5000 0.5000 0.5000

# Tm2UAg2S6 PBE relaxed
# - Theoretical density: 6.074 g/cm3
# - Formation energy without anion corrections: -14.41 eV per formula unit
# - VASP energy: -130.2 eV for the cell shown
# - Volume: 24.46 A^3/atom
data_Tm2UAg2S6
_chemical_formula_sum 'Tm4 U2 Ag4 S12'
_cell_length_a 6.8910
_cell_length_b 12.0193
_cell_length_c 6.5551
_cell_angle_alpha 90.00
_cell_angle_beta 97.71
_cell_angle_gamma 90.00
_symmetry_space_group_name_H-M 'C 1 2/m 1'
_symmetry_Int_Tables_number 12
_symmetry_space_group_name_Hall '-C 2y'
loop_
_atom_site_label
_atom_site_fract_x
_atom_site_fract_y
_atom_site_fract_z
Tm1 0.0000 0.1644 0.0000
U1 0.0000 0.5000 0.0000
Ag1 0.0000 0.3759 0.5000
S1 0.1946 0.3313 0.2186
S2 0.1992 0.0000 0.2213